The following is a DFT calculation (PBE) of a relaxed structure of AgH.

Cell: 4.5179 4.5179 4.5179 Å, 90.00 90.00 90.00°
Sites, in units of the cell vectors:
Ag 0.0000 0.0000 0.0000
Ag 0.0000 0.5000 0.5000
Ag 0.5000 0.0000 0.5000
Ag 0.5000 0.5000 0.0000
H 0.2500 0.2500 0.7500
H 0.2500 0.7500 0.2500
H 0.7500 0.2500 0.2500
H 0.7500 0.7500 0.7500

VASP energy: -2.90 eV/atom
space group: F-43m, No. 216



The following is a DFT calculation (PBE) of a relaxed structure of Sr2CdAs3Pd4.

Cell: 4.4424 4.4424 10.6361 Å, 90.00 90.00 90.00°
Sites, in units of the cell vectors:
Sr 0.0000 0.5000 0.2404
Sr 0.5000 0.0000 0.7596
Cd 0.0000 0.0000 0.5000
As 0.0000 0.5000 0.8755
As 0.5000 0.0000 0.1245
As 0.5000 0.5000 0.5000
Pd 0.0000 0.0000 0.0000
Pd 0.0000 0.5000 0.6434
Pd 0.5000 0.0000 0.3566
Pd 0.5000 0.5000 0.0000

formation enthalpy at 0 K: -0.7154 eV per atom
space group: P-4m2, No. 115



The following is a DFT calculation (PBE) of a relaxed structure of ReSe2BrF.

Cell: 4.7760 4.7760 5.1532 Å, 90.00 90.00 90.00°
Sites, in units of the cell vectors:
Re 0.0000 0.0000 0.0000
Se 0.0000 0.5000 0.0000
Se 0.5000 0.0000 0.0000
Br 0.0000 0.0000 0.5000
F 0.5000 0.5000 0.5000

formation energy (no corrections): 0.183 eV/atom
space group: P4/mmm, No. 123



The following is a DFT calculation (PBE) of a relaxed structure of SrTePbI2.

Cell: 6.0964 6.0964 6.4887 Å, 90.00 90.00 90.00°
Sites, in units of the cell vectors:
Sr 0.0000 0.0000 0.0000
Te 0.0000 0.0000 0.5000
Pb 0.5000 0.5000 0.5000
I 0.0000 0.5000 0.0000
I 0.5000 0.0000 0.0000

formation energy (no corrections): -0.510 eV/atom
space group: P4/mmm, No. 123



The following is a DFT calculation (PBE) of a relaxed structure of NiAsIN2.

Cell: 3.8570 3.8570 6.0329 Å, 90.00 90.00 90.00°
Sites, in units of the cell vectors:
Ni 0.0000 0.0000 0.0000
As 0.5000 0.5000 0.5000
I 0.0000 0.0000 0.5000
N 0.0000 0.5000 0.0000
N 0.5000 0.0000 0.0000

formation energy (no corrections): 1.520 eV/atom
space group: P4/mmm, No. 123



The following is a DFT calculation (PBE) of a relaxed structure of BaPPb.

Cell: 7.4541 7.4541 7.4541 Å, 90.00 90.00 90.00°
Sites, in units of the cell vectors:
Ba 0.0000 0.0000 0.0000
Ba 0.0000 0.5000 0.5000
Ba 0.5000 0.0000 0.5000
Ba 0.5000 0.5000 0.0000
P 0.2500 0.2500 0.2500
P 0.2500 0.7500 0.7500
P 0.7500 0.2500 0.7500
P 0.7500 0.7500 0.2500
Pb 0.0000 0.0000 0.5000
Pb 0.0000 0.5000 0.0000
Pb 0.5000 0.0000 0.0000
Pb 0.5000 0.5000 0.5000

formation enthalpy at 0 K: -0.3950 eV per atom
space group: F-43m, No. 216



The following is a DFT calculation (PBE) of a relaxed structure of Sm3Pu2NpN6.

Cell: 6.1010 6.1010 6.0846 Å, 99.62 99.62 120.02°
Sites, in units of the cell vectors:
Sm 0.0000 0.0000 0.0000
Sm 0.3322 0.6678 0.0000
Sm 0.6678 0.3322 0.0000
Pu 0.1665 0.8335 0.5000
Pu 0.8335 0.1665 0.5000
Np 0.5000 0.5000 0.5000
N 0.1001 0.4244 0.2730
N 0.2517 0.2517 0.7273
N 0.4244 0.1001 0.2730
N 0.5756 0.8999 0.7270
N 0.7483 0.7483 0.2727
N 0.8999 0.5756 0.7270

formation energy (no corrections): -1.364 eV/atom
space group: C2/m, No. 12



The following is a DFT calculation (PBE) of a relaxed structure of Ba2SrLa.

Cell: 9.4155 9.4155 9.4155 Å, 90.00 90.00 90.00°
Sites, in units of the cell vectors:
Ba 0.2500 0.2500 0.2500
Ba 0.2500 0.2500 0.7500
Ba 0.2500 0.7500 0.2500
Ba 0.2500 0.7500 0.7500
Ba 0.7500 0.2500 0.2500
Ba 0.7500 0.2500 0.7500
Ba 0.7500 0.7500 0.2500
Ba 0.7500 0.7500 0.7500
Sr 0.0000 0.0000 0.0000
Sr 0.0000 0.5000 0.5000
Sr 0.5000 0.0000 0.5000
Sr 0.5000 0.5000 0.0000
La 0.0000 0.0000 0.5000
La 0.0000 0.5000 0.0000
La 0.5000 0.0000 0.0000
La 0.5000 0.5000 0.5000

formation enthalpy at 0 K: 0.1609 eV per atom
space group: Fm-3m, No. 225



The following is a DFT calculation (PBE) of a relaxed structure of Pm2NdDy4.

Cell: 6.1252 6.6280 11.6907 Å, 90.00 104.34 90.00°
Sites, in units of the cell vectors:
Pm 0.1010 0.2500 0.4892
Pm 0.3438 0.7500 0.0496
Pm 0.6562 0.2500 0.9504
Pm 0.8990 0.7500 0.5108
Nd 0.4665 0.7500 0.6383
Nd 0.5335 0.2500 0.3617
Dy 0.1554 0.0078 0.7891
Dy 0.1554 0.4922 0.7891
Dy 0.2165 0.2500 0.0765
Dy 0.3543 0.7500 0.3346
Dy 0.6457 0.2500 0.6654
Dy 0.7835 0.7500 0.9235
Dy 0.8446 0.5078 0.2109
Dy 0.8446 0.9922 0.2109

formation enthalpy at 0 K: 0.1213 eV per atom
space group: P2_1/m, No. 11



The following is a DFT calculation (PBE) of a relaxed structure of Cs2AgIO6.

Cell: 6.3963 6.3963 6.3963 Å, 60.00 60.00 60.00°
Sites, in units of the cell vectors:
Cs 0.2500 0.2500 0.2500
Cs 0.7500 0.7500 0.7500
Ag 0.0000 0.0000 0.0000
I 0.5000 0.5000 0.5000
O 0.2897 0.2897 0.7103
O 0.2897 0.7103 0.2897
O 0.2897 0.7103 0.7103
O 0.7103 0.2897 0.2897
O 0.7103 0.2897 0.7103
O 0.7103 0.7103 0.2897

formation energy (no corrections): -0.557 eV/atom
space group: Fm-3m, No. 225



The following is a DFT calculation (PBE) of a relaxed structure of TiHg2Au2.

Cell: 7.0771 7.0771 4.2142 Å, 90.00 90.00 90.00°
Sites, in units of the cell vectors:
Ti 0.0000 0.0000 0.0000
Ti 0.5000 0.5000 0.0000
Hg 0.1740 0.3260 0.5000
Hg 0.3260 0.8260 0.5000
Hg 0.6740 0.1740 0.5000
Hg 0.8260 0.6740 0.5000
Au 0.1369 0.6369 0.0000
Au 0.3631 0.1369 0.0000
Au 0.6369 0.8631 0.0000
Au 0.8631 0.3631 0.0000

formation enthalpy at 0 K: 0.1324 eV per atom
space group: P4/mbm, No. 127



The following is a DFT calculation (PBE) of a relaxed structure of AlFePt2.

Cell: 2.8294 2.8294 7.1124 Å, 90.00 90.00 90.00°
Sites, in units of the cell vectors:
Al 0.0000 0.0000 0.0000
Fe 0.5000 0.5000 0.2308
Pt 0.0000 0.0000 0.4682
Pt 0.5000 0.5000 0.7696

formation enthalpy at 0 K: -0.4400 eV per atom
space group: P4mm, No. 99



The following is a DFT calculation (PBE) of a relaxed structure of La4Ge3Pt.

Cell: 4.2612 4.4040 11.4838 Å, 90.00 90.00 90.00°
Sites, in units of the cell vectors:
La 0.0000 0.0000 0.0000
La 0.0000 0.5000 0.4896
La 0.5000 0.0000 0.2673
La 0.5000 0.5000 0.7753
Ge 0.0000 0.0000 0.7046
Ge 0.0000 0.5000 0.2083
Ge 0.5000 0.0000 0.5549
Pt 0.5000 0.5000 0.0471

formation enthalpy at 0 K: -0.9001 eV per atom
space group: Pmm2, No. 25



The following is a DFT calculation (PBE) of a relaxed structure of TlIn2Br.

Cell: 4.1908 5.7886 9.8569 Å, 90.00 90.00 90.00°
Sites, in units of the cell vectors:
Tl 0.0000 0.0000 0.0000
Tl 0.5000 0.5000 0.0000
In 0.0000 0.0000 0.5197
In 0.0000 0.5000 0.2687
In 0.5000 0.0000 0.2687
In 0.5000 0.5000 0.5197
Br 0.0000 0.5000 0.7417
Br 0.5000 0.0000 0.7417

formation energy (no corrections): -0.186 eV/atom
space group: Cmm2, No. 35



The following is a DFT calculation (PBE) of a relaxed structure of Sm6Er3Th.

Cell: 13.1726 3.5354 14.4144 Å, 90.00 100.59 90.00°
Sites, in units of the cell vectors:
Sm 0.9999 0.2500 0.1900
Sm 0.0001 0.7500 0.8100
Sm 0.1543 0.7500 0.3801
Sm 0.2284 0.2500 0.7978
Sm 0.2784 0.2500 0.2132
Sm 0.3102 0.2500 0.5793
Sm 0.3771 0.7500 0.0159
Sm 0.6229 0.2500 0.9841
Sm 0.6898 0.7500 0.4207
Sm 0.7216 0.7500 0.7868
Sm 0.7716 0.7500 0.2022
Sm 0.8457 0.2500 0.6199
Er 0.0773 0.7500 0.5958
Er 0.1241 0.2500 0.0013
Er 0.4259 0.7500 0.4005
Er 0.5741 0.2500 0.5995
Er 0.8759 0.7500 0.9987
Er 0.9227 0.2500 0.4042
Th 0.4646 0.7500 0.7770
Th 0.5354 0.2500 0.2230

formation enthalpy at 0 K: 0.0819 eV per atom
space group: P2_1/m, No. 11



The following is a DFT calculation (PBE) of a relaxed structure of Nd2Y9Tm.

Cell: 5.0686 5.0686 15.2002 Å, 90.00 90.00 90.00°
Sites, in units of the cell vectors:
Nd 0.0000 0.0000 0.1674
Nd 0.0000 0.0000 0.8326
Y 0.0000 0.5000 0.0000
Y 0.0000 0.5000 0.3359
Y 0.0000 0.5000 0.6641
Y 0.5000 0.0000 0.0000
Y 0.5000 0.0000 0.3359
Y 0.5000 0.0000 0.6641
Y 0.5000 0.5000 0.1684
Y 0.5000 0.5000 0.5000
Y 0.5000 0.5000 0.8316
Tm 0.0000 0.0000 0.5000

formation enthalpy at 0 K: 0.0250 eV per atom
space group: P4/mmm, No. 123



The following is a DFT calculation (PBE) of a relaxed structure of LuPuAlIn.

Cell: 7.3185 7.3185 7.3185 Å, 90.00 90.00 90.00°
Sites, in units of the cell vectors:
Lu 0.0000 0.0000 0.0000
Lu 0.0000 0.5000 0.5000
Lu 0.5000 0.0000 0.5000
Lu 0.5000 0.5000 0.0000
Pu 0.0000 0.0000 0.5000
Pu 0.0000 0.5000 0.0000
Pu 0.5000 0.0000 0.0000
Pu 0.5000 0.5000 0.5000
Al 0.2500 0.2500 0.7500
Al 0.2500 0.7500 0.2500
Al 0.7500 0.2500 0.2500
Al 0.7500 0.7500 0.7500
In 0.2500 0.2500 0.2500
In 0.2500 0.7500 0.7500
In 0.7500 0.2500 0.7500
In 0.7500 0.7500 0.2500

formation enthalpy at 0 K: -0.2212 eV per atom
space group: F-43m, No. 216



The following is a DFT calculation (PBE) of a relaxed structure of Th4CuS3.

Cell: 5.7519 5.7519 11.6062 Å, 90.00 90.00 90.00°
Sites, in units of the cell vectors:
Th 0.0000 0.0000 0.2460
Th 0.0000 0.0000 0.7540
Th 0.0000 0.5000 0.0000
Th 0.0000 0.5000 0.5000
Th 0.5000 0.0000 0.0000
Th 0.5000 0.0000 0.5000
Th 0.5000 0.5000 0.2540
Th 0.5000 0.5000 0.7460
Cu 0.0000 0.0000 0.5000
Cu 0.5000 0.5000 0.0000
S 0.0000 0.0000 0.0000
S 0.0000 0.5000 0.2500
S 0.0000 0.5000 0.7500
S 0.5000 0.0000 0.2500
S 0.5000 0.0000 0.7500
S 0.5000 0.5000 0.5000

formation energy (no corrections): -1.419 eV/atom
space group: I4/mmm, No. 139



The following is a DFT calculation (PBE) of a relaxed structure of GaPd2S2.

Cell: 7.1806 7.1806 3.2309 Å, 90.00 90.00 90.00°
Sites, in units of the cell vectors:
Ga 0.0000 0.0000 0.0000
Ga 0.5000 0.5000 0.0000
Pd 0.1507 0.3493 0.5000
Pd 0.3493 0.8493 0.5000
Pd 0.6507 0.1507 0.5000
Pd 0.8493 0.6507 0.5000
S 0.1644 0.6644 0.0000
S 0.3356 0.1644 0.0000
S 0.6644 0.8356 0.0000
S 0.8356 0.3356 0.0000

formation energy (no corrections): 0.009 eV/atom
space group: P4/mbm, No. 127



The following is a DFT calculation (PBE) of a relaxed structure of Li2BiRu.

Cell: 6.3123 6.3123 6.3123 Å, 90.00 90.00 90.00°
Sites, in units of the cell vectors:
Li 0.2500 0.2500 0.2500
Li 0.2500 0.2500 0.7500
Li 0.2500 0.7500 0.2500
Li 0.2500 0.7500 0.7500
Li 0.7500 0.2500 0.2500
Li 0.7500 0.2500 0.7500
Li 0.7500 0.7500 0.2500
Li 0.7500 0.7500 0.7500
Bi 0.0000 0.0000 0.0000
Bi 0.0000 0.5000 0.5000
Bi 0.5000 0.0000 0.5000
Bi 0.5000 0.5000 0.0000
Ru 0.0000 0.0000 0.5000
Ru 0.0000 0.5000 0.0000
Ru 0.5000 0.0000 0.0000
Ru 0.5000 0.5000 0.5000

formation enthalpy at 0 K: 0.1140 eV per atom
space group: Fm-3m, No. 225



The following is a DFT calculation (PBE) of a relaxed structure of Ac3Zn4In7.

Cell: 9.1710 9.1710 10.7647 Å, 125.32 125.32 29.95°
Sites, in units of the cell vectors:
Ac 0.0000 0.0000 0.0000
Ac 0.3141 0.3141 0.3292
Ac 0.6859 0.6859 0.6708
Zn 0.1416 0.1416 0.4142
Zn 0.3395 0.3395 0.9530
Zn 0.6605 0.6605 0.0470
Zn 0.8584 0.8584 0.5858
In 0.0000 0.0000 0.5000
In 0.1625 0.1625 0.9009
In 0.3368 0.3368 0.6983
In 0.4880 0.4880 0.2714
In 0.5120 0.5120 0.7286
In 0.6632 0.6632 0.3017
In 0.8375 0.8375 0.0991

formation enthalpy at 0 K: -0.3572 eV per atom
space group: C2/m, No. 12



The following is a DFT calculation (PBE) of a relaxed structure of Nd2EuPd.

Cell: 4.0237 4.0237 29.4526 Å, 90.00 90.00 120.00°
Sites, in units of the cell vectors:
Nd 0.0000 0.0000 0.2260
Nd 0.0000 0.0000 0.7740
Nd 0.3333 0.6667 0.4407
Nd 0.3333 0.6667 0.8927
Nd 0.6667 0.3333 0.1073
Nd 0.6667 0.3333 0.5593
Eu 0.0000 0.0000 0.0000
Eu 0.3333 0.6667 0.6667
Eu 0.6667 0.3333 0.3333
Pd 0.0000 0.0000 0.5000
Pd 0.3333 0.6667 0.1667
Pd 0.6667 0.3333 0.8333

formation enthalpy at 0 K: -0.2641 eV per atom
space group: R-3m, No. 166



The following is a DFT calculation (PBE) of a relaxed structure of Ta2Rh.

Cell: 9.9058 9.9058 5.1390 Å, 90.00 90.00 90.00°
Sites, in units of the cell vectors:
Ta 0.0376 0.3714 0.0000
Ta 0.1045 0.1045 0.0000
Ta 0.1286 0.5376 0.5000
Ta 0.1776 0.8224 0.2483
Ta 0.1776 0.8224 0.7517
Ta 0.3224 0.3224 0.2517
Ta 0.3224 0.3224 0.7483
Ta 0.3714 0.0376 0.0000
Ta 0.3955 0.6045 0.5000
Ta 0.4624 0.8714 0.5000
Ta 0.5376 0.1286 0.5000
Ta 0.6045 0.3955 0.5000
Ta 0.6286 0.9624 0.0000
Ta 0.6776 0.6776 0.2517
Ta 0.6776 0.6776 0.7483
Ta 0.8224 0.1776 0.2483
Ta 0.8224 0.1776 0.7517
Ta 0.8714 0.4624 0.5000
Ta 0.8955 0.8955 0.0000
Ta 0.9624 0.6286 0.0000
Rh 0.0000 0.0000 0.5000
Rh 0.0705 0.2624 0.5000
Rh 0.2376 0.5705 0.0000
Rh 0.2624 0.0705 0.5000
Rh 0.4295 0.7624 0.0000
Rh 0.5000 0.5000 0.0000
Rh 0.5705 0.2376 0.0000
Rh 0.7376 0.9295 0.5000
Rh 0.7624 0.4295 0.0000
Rh 0.9295 0.7376 0.5000

formation enthalpy at 0 K: -0.3747 eV per atom
space group: P4_2/mnm, No. 136